Entry 1:
VASP calculation (PBE) on a geometry-optimized K4SrZr structure.

a = 7.5916 Å, b = 7.5916 Å, c = 7.5916 Å
α = 60.00°, β = 60.00°, γ = 60.00°
Last column: magnetic moment on the atom in μB.
Sites, in units of the cell vectors:
K1 0.3738 0.3738 0.3738  0.01
K2 0.8787 0.3738 0.3738  0.01
K3 0.3738 0.3738 0.8787  0.01
K4 0.3738 0.8787 0.3738  0.01
Sr1 0.7500 0.7500 0.7500  0.04
Zr1 0.0000 0.0000 0.0000  1.56

## Properties
**Spin magnetization**: 3.42 μB/cell
**DFT formation energy**: 4.41 eV/f.u.
**Crystal system**: cubic

Entry 2:
VASP calculation (PBE) on a geometry-optimized KSr2Zr structure.

a = 6.3155 Å, b = 6.3155 Å, c = 6.3155 Å
α = 60.00°, β = 60.00°, γ = 60.00°
Last column: magnetic moment on the atom in μB.
Sites, in units of the cell vectors:
K1 0.5000 0.5000 0.5000  0.02
Sr1 0.0000 0.0000 0.0000  0.08
Sr2 0.2500 0.2500 0.2500  0.04
Zr1 0.7500 0.7500 0.7500  1.39

## Properties
**Spin magnetization**: 3.05 μB/cell
**DFT formation energy**: 3.10 eV/f.u.
**Crystal system**: cubic
**ΔE to the lowest computed polymorph**: 356 meV per atom